(a)
# BeSbRh2

BeSbRh2 after structural relaxation (PBE-GGA, Alexandria via LeMat-Bulk).

Geometry as POSCAR:
```
BeSbRh2
1.0
-4.376 -0.804 0.429
-1.072 -0.166 -4.337
3.249 -2.385 1.933
Sb Rh Be
1 2 1
direct
0.250 0.750 0.500
0.000 0.000 0.000
0.500 0.500 0.000
0.750 0.250 0.500
```

Summary:
The symmetry is No. 139.

(b)
# BeSbRh2

BeSbRh2 after structural relaxation (PBE-GGA, Alexandria via LeMat-Bulk).

Geometry as POSCAR:
```
BeSbRh2
1.0
3.489 0.000 0.000
0.000 4.071 0.000
0.000 0.000 4.071
Sb Rh Be
1 2 1
direct
0.500 0.500 0.000
0.000 0.000 0.000
0.000 0.500 0.500
0.500 0.000 0.500
```

Summary:
The symmetry is No. 123.

(c)
# BeSbRh2

BeSbRh2 after structural relaxation (PBE-GGA, Alexandria via LeMat-Bulk).

Geometry as POSCAR:
```
BeSbRh2
1.0
-1.368 -4.575 0.038
0.221 -4.046 -2.526
3.462 -2.226 1.688
Sb Rh Be
1 2 1
direct
0.505 0.505 0.554
0.979 0.979 0.089
0.756 0.756 0.718
0.261 0.261 0.139
```

Summary:
The symmetry is No. 8.

(d)
# BeSbRh2

BeSbRh2 after structural relaxation (PBE-GGA, Alexandria via LeMat-Bulk).

Geometry as POSCAR:
```
BeSbRh2
1.0
-1.565 -2.863 6.189
-3.256 -4.623 4.121
-0.159 -5.263 4.608
Sb Rh Be
1 2 1
direct
0.250 0.250 0.250
0.017 0.017 0.017
0.483 0.483 0.483
0.750 0.750 0.750
```

Summary:
The symmetry is No. 166.

The structure shown above that is least stable: (d).